{"formula": "Sr4Eu2Pd", "functional": "GGA-PBE", "state": "relaxed", "lattice_angstrom": [[-2.9636, 2.9636, 10.0248], [2.9636, -2.9636, 10.0248], [2.9636, 2.9636, -10.0248]], "species": ["Sr", "Sr", "Sr", "Sr", "Eu", "Eu", "Pd"], "fractional_positions": [[0.0000, 0.5000, 0.5000], [0.1515, 0.1515, 0.0000], [0.5000, 0.0000, 0.5000], [0.8485, 0.8485, 0.0000], [0.3507, 0.3507, 0.0000], [0.6493, 0.6493, 0.0000], [0.0000, 0.0000, 0.0000]], "volume_a3_per_atom": 50.31, "delta_e_f_mev_per_atom": -27}

{"formula": "TlSiAs", "functional": "GGA-PBE", "state": "relaxed", "lattice_angstrom": [[4.9750, 0.0000, 0.0000], [-2.4875, 4.3085, 0.0000], [0.0000, 0.0000, 3.0747]], "species": ["Tl", "Si", "As"], "fractional_positions": [[0.0000, 0.0000, 0.0000], [0.6667, 0.3333, 0.5000], [0.3333, 0.6667, 0.5000]], "volume_a3_per_atom": 21.97, "e_form_raw_ev_per_atom": 0.440}

{"formula": "LaScAs2", "functional": "GGA-PBE", "state": "relaxed", "lattice_angstrom": [[4.3598, 0.0000, 0.0000], [0.0000, 1.9772, 5.8233], [0.0000, -1.9772, 5.8233]], "species": ["La", "Sc", "As", "As"], "fractional_positions": [[0.0000, 0.0000, 0.0000], [0.5000, 0.2575, 0.2575], [0.0000, 0.7327, 0.7327], [0.5000, 0.4823, 0.4823]], "volume_a3_per_atom": 25.10, "delta_e_f_mev_per_atom": -1177}

{"formula": "Ta2BeTl", "functional": "GGA-PBE", "state": "relaxed", "lattice_angstrom": [[2.9208, 0.0000, 0.0000], [0.0000, 2.9208, 0.0000], [0.0000, 0.0000, 8.2905]], "species": ["Ta", "Ta", "Be", "Tl"], "fractional_positions": [[0.0000, 0.0000, 0.0000], [0.5000, 0.5000, 0.2719], [0.5000, 0.5000, 0.8047], [0.0000, 0.0000, 0.5656]], "volume_a3_per_atom": 17.68, "delta_e_f_mev_per_atom": 445}

{"formula": "Y2Rh2N", "functional": "GGA-PBE", "state": "relaxed", "lattice_angstrom": [[6.8813, 0.0000, 0.0000], [0.0000, 6.8813, 0.0000], [0.0000, 0.0000, 3.8898]], "species": ["Y", "Y", "Y", "Y", "Rh", "Rh", "Rh", "Rh", "N", "N"], "fractional_positions": [[0.1778, 0.3222, 0.0000], [0.3222, 0.8222, 0.0000], [0.6778, 0.1778, 0.0000], [0.8222, 0.6778, 0.0000], [0.1361, 0.6361, 0.5000], [0.3639, 0.1361, 0.5000], [0.6361, 0.8639, 0.5000], [0.8639, 0.3639, 0.5000], [0.0000, 0.0000, 0.5000], [0.5000, 0.5000, 0.5000]], "volume_a3_per_atom": 18.42, "e_form_raw_ev_per_atom": 0.086}

{"formula": "CdSbBr2", "functional": "GGA-PBE", "state": "relaxed", "lattice_angstrom": [[3.3839, -4.4715, 0.0000], [3.3839, 4.4715, 0.0000], [0.0000, 0.0000, 3.5746]], "species": ["Cd", "Sb", "Br", "Br"], "fractional_positions": [[0.0000, 0.0000, 0.0000], [0.5000, 0.5000, 0.0000], [0.0000, 0.5000, 0.5000], [0.5000, 0.0000, 0.5000]], "volume_a3_per_atom": 27.04, "e_form_raw_ev_per_atom": 0.042}

{"formula": "Tm2HPb2", "functional": "GGA-PBE", "state": "relaxed", "lattice_angstrom": [[1.8491, -8.0562, 0.0000], [1.8491, 8.0562, 0.0000], [0.0000, 0.0000, 8.3740]], "species": ["Tm", "Tm", "Tm", "Tm", "H", "H", "Pb", "Pb", "Pb", "Pb"], "fractional_positions": [[0.0583, 0.9417, 0.5000], [0.3666, 0.6334, 0.3269], [0.6334, 0.3666, 0.8269], [0.9417, 0.0583, 0.0000], [0.1109, 0.8891, 0.7275], [0.8891, 0.1109, 0.2275], [0.2807, 0.7193, 0.9603], [0.4298, 0.5702, 0.6839], [0.5702, 0.4298, 0.1839], [0.7193, 0.2807, 0.4603]], "volume_a3_per_atom": 24.95}

{"formula": "TmTcF", "functional": "GGA-PBE", "state": "relaxed", "lattice_angstrom": [[3.1641, 0.0000, 0.0000], [0.0000, 3.1641, 0.0000], [0.0000, 0.0000, 9.2143]], "species": ["Tm", "Tm", "Tc", "Tc", "F", "F"], "fractional_positions": [[0.2500, 0.2500, 0.1984], [0.7500, 0.7500, 0.8016], [0.2500, 0.2500, 0.5703], [0.7500, 0.7500, 0.4297], [0.2500, 0.2500, 0.9328], [0.7500, 0.7500, 0.0672]], "volume_a3_per_atom": 15.37, "e_form_raw_ev_per_atom": -1.637}

{"formula": "UAsSe4", "functional": "GGA-PBE", "state": "relaxed", "lattice_angstrom": [[6.8167, 0.0000, 0.0000], [0.0000, 6.6121, 0.0000], [-0.9810, 0.0000, 6.6971]], "species": ["U", "U", "As", "As", "Se", "Se", "Se", "Se", "Se", "Se", "Se", "Se"], "fractional_positions": [[0.0000, 0.0000, 0.0000], [0.0000, 0.5000, 0.5000], [0.5000, 0.0000, 0.5000], [0.5000, 0.5000, 0.0000], [0.2080, 0.2130, 0.3191], [0.2080, 0.2870, 0.8191], [0.2829, 0.7193, 0.2528], [0.2829, 0.7807, 0.7528], [0.7171, 0.2193, 0.2472], [0.7171, 0.2807, 0.7472], [0.7920, 0.7130, 0.1809], [0.7920, 0.7870, 0.6809]], "volume_a3_per_atom": 25.15, "e_form_raw_ev_per_atom": -0.488}

{"formula": "AgTe2RuI", "functional": "GGA-PBE", "state": "relaxed", "lattice_angstrom": [[5.1119, 0.0000, 0.0000], [0.0000, 5.1119, 0.0000], [0.0000, 0.0000, 5.8287]], "species": ["Ag", "Te", "Te", "Ru", "I"], "fractional_positions": [[0.0000, 0.0000, 0.0000], [0.0000, 0.5000, 0.5000], [0.5000, 0.0000, 0.5000], [0.5000, 0.5000, 0.5000], [0.5000, 0.5000, 0.0000]], "volume_a3_per_atom": 30.46, "e_form_raw_ev_per_atom": 0.511}

| no. | magnetic moment (μB/cell) | raw total energy (Ry/atom) | N(E_F) (states/eV/f.u.) |
| --- | --- | --- | --- |
| 1 | 15.120 | -0.3429 | 6.1 |
| 2 | 0.000 | -0.2724 | 1.5 |
| 3 | 0.000 | -0.4643 | 0.3 |
| 4 | 0.000 | -0.5148 | 3.2 |
| 5 | 0.000 | -0.5222 | 3.6 |
| 6 | 0.000 | -0.1509 | 1.5 |
| 7 | 0.000 | -0.3156 | 2.3 |
| 8 | 0.000 | -0.5297 | 2.0 |
| 9 | 2.101 | -0.4019 | 7.5 |
| 10 | 0.000 | -0.2558 | 6.3 |